--- w ---
Compound: TlCd2Se
Source: Alexandria
Functional: GGA-PBE
Structure: optimized geometry Values from VASP.

crystal system = orthorhombic
SG = Cmmm, No. 65

```
&SYSTEM
  ibrav = 0, nat = 4, ntyp = 3
/
ATOMIC_SPECIES
Cd 112.41 Cd.upf
Se 78.96 Se.upf
Tl 204.38 Tl.upf
CELL_PARAMETERS angstrom
3.708 0.268 0.000
-0.806 3.629 0.000
0.000 0.000 7.537
ATOMIC_POSITIONS angstrom
Cd 0.000 0.000 0.294
Cd 0.000 0.000 3.474
Se 1.451 1.949 1.884
Tl 1.451 1.949 5.653
```

=====

--- x ---
Compound: TlCd2Se
Source: Alexandria
Functional: GGA-PBE
Structure: optimized geometry Values from VASP.

crystal system = monoclinic
SG = Pm, No. 6

```
&SYSTEM
  ibrav = 0, nat = 4, ntyp = 3
/
ATOMIC_SPECIES
Cd 112.41 Cd.upf
Se 78.96 Se.upf
Tl 204.38 Tl.upf
CELL_PARAMETERS angstrom
4.006 0.000 0.000
0.000 4.273 0.020
0.000 1.943 6.456
ATOMIC_POSITIONS angstrom
Cd 0.000 0.244 0.336
Cd 2.003 2.367 1.418
Se 0.000 2.289 3.376
Tl 2.003 4.425 4.584
```

=====

--- y ---
Compound: TlCd2Se
Source: Alexandria
Functional: GGA-PBE
Structure: optimized geometry Values from VASP.

crystal system = monoclinic
SG = Cm, No. 8

```
&SYSTEM
  ibrav = 0, nat = 4, ntyp = 3
/
ATOMIC_SPECIES
Cd 112.41 Cd.upf
Se 78.96 Se.upf
Tl 204.38 Tl.upf
CELL_PARAMETERS angstrom
4.177 -0.012 0.008
2.105 3.608 0.008
2.056 1.177 7.495
ATOMIC_POSITIONS angstrom
Cd 6.280 3.594 0.246
Cd 2.080 1.190 2.057
Se 4.167 2.385 3.505
Tl 6.263 3.584 5.472
```

=====

--- z ---
Compound: TlCd2Se
Source: Alexandria
Functional: GGA-PBE
Structure: optimized geometry Values from VASP.

crystal system = monoclinic
SG = P2/m, No. 10

```
&SYSTEM
  ibrav = 0, nat = 4, ntyp = 3
/
ATOMIC_SPECIES
Cd 112.41 Cd.upf
Se 78.96 Se.upf
Tl 204.38 Tl.upf
CELL_PARAMETERS angstrom
4.042 0.000 0.000
0.000 5.643 -0.147
0.000 1.665 4.931
ATOMIC_POSITIONS angstrom
Cd 0.000 0.159 0.225
Cd 0.000 3.495 2.167
Se 2.021 1.827 1.196
Tl 2.021 5.481 3.588
```

=====

It turns out y is the most stable, with the second structure 0.009 eV/atom higher.